Record 1
Here is LiTiPtAu after structural relaxation from Alexandria. Energies are from GGA-PBE. Values from VASP.

Results
The formation energy comes out at -0.612 eV per atom. Its calculated total energy is -21.6 eV per formula unit. The symmetry is F-43m (216).

```
&SYSTEM
  ibrav = 0, nat = 4, ntyp = 4
/
ATOMIC_SPECIES
Pt 195.08 Pt.upf
Li 6.94 Li.upf
Au 196.97 Au.upf
Ti 47.87 Ti.upf
CELL_PARAMETERS angstrom
4.440 0.000 0.000
2.220 3.845 0.000
2.220 1.282 3.625
ATOMIC_POSITIONS angstrom
Pt 4.440 2.564 1.813
Li 6.660 3.845 2.719
Au 0.000 0.000 0.000
Ti 2.220 1.282 0.906
```



Record 2
Here is SmLuMgBi after structural relaxation from Alexandria. Energies are from GGA-PBE. Values from VASP.

Results
The formation energy comes out at -0.276 eV per atom. Its calculated total energy is -15.8 eV per formula unit. The symmetry is F-43m (216).

```
&SYSTEM
  ibrav = 0, nat = 4, ntyp = 4
/
ATOMIC_SPECIES
Bi 208.98 Bi.upf
Mg 24.30 Mg.upf
Sm 150.36 Sm.upf
Lu 174.97 Lu.upf
CELL_PARAMETERS angstrom
-5.038 -2.023 0.233
-1.075 -4.249 3.212
-2.993 0.673 4.485
ATOMIC_POSITIONS angstrom
Bi -4.553 -2.800 3.966
Mg 0.000 0.000 0.000
Sm -2.277 -1.400 1.983
Lu -6.830 -4.199 5.948
```



Record 3
Here is TaTlCo2 after structural relaxation from Alexandria. Energies are from GGA-PBE. Values from VASP.

Results
The formation energy comes out at 0.339 eV per atom. Its calculated total energy is -27.1 eV per formula unit. The symmetry is P4mm (99). The energy above the lowest structure with this stoichiometry comes out at 0.232 eV per atom.

```
&SYSTEM
  ibrav = 0, nat = 4, ntyp = 3
/
ATOMIC_SPECIES
Tl 204.38 Tl.upf
Ta 180.95 Ta.upf
Co 58.93 Co.upf
CELL_PARAMETERS angstrom
-1.778 -2.373 -1.428
2.474 -0.598 -2.085
2.225 -3.937 3.770
ATOMIC_POSITIONS angstrom
Tl 2.090 -4.567 1.195
Ta 0.943 -1.668 1.597
Co 0.945 -2.542 -0.744
Co 0.056 -0.099 0.095
```



Record 4
Here is MnCdHN after structural relaxation from Alexandria. Energies are from GGA-PBE. Values from VASP.

Results
Its calculated total energy is -20.9 eV per formula unit. The symmetry is Amm2 (38). The energy above the lowest structure with this stoichiometry comes out at 0.268 eV per atom.

```
&SYSTEM
  ibrav = 0, nat = 8, ntyp = 4
/
ATOMIC_SPECIES
H 1.01 H.upf
N 14.01 N.upf
Cd 112.41 Cd.upf
Mn 54.94 Mn.upf
CELL_PARAMETERS angstrom
2.924 0.000 0.000
0.000 4.286 0.000
0.000 0.000 8.787
ATOMIC_POSITIONS angstrom
H 0.000 2.143 6.157
N 1.462 2.143 3.685
Cd 1.462 2.143 1.273
Mn 0.000 2.143 4.591
Mn 0.000 0.000 0.198
Cd 1.462 0.000 5.667
N 1.462 0.000 8.079
H 0.000 0.000 1.763
```



Record 5
Here is CaFe2Pt after structural relaxation from Alexandria. Energies are from GGA-PBE. Values from VASP.

Results
The formation energy comes out at -0.026 eV per atom. Its calculated total energy is -25.1 eV per formula unit. The symmetry is C2/m (12).

```
&SYSTEM
  ibrav = 0, nat = 4, ntyp = 3
/
ATOMIC_SPECIES
Pt 195.08 Pt.upf
Fe 55.84 Fe.upf
Ca 40.08 Ca.upf
CELL_PARAMETERS angstrom
-3.385 2.509 0.890
-3.690 -0.402 -2.182
-3.864 -2.638 2.884
ATOMIC_POSITIONS angstrom
Pt -2.735 -0.133 0.398
Fe -5.210 0.289 0.245
Ca -8.204 -0.399 1.194
Fe -7.334 1.552 -0.740
```



Record 6
Here is NiIrSeN2 after structural relaxation from Alexandria. Energies are from GGA-PBE. Values from VASP.

Results
The calculation puts the energy relative to the elements, uncorrected at 4.58 eV per formula unit. Its calculated total energy is -30.2 eV per formula unit. The symmetry is P4/mmm (123). The energy above the lowest structure with this stoichiometry comes out at 0.000 eV per atom.

```
&SYSTEM
  ibrav = 0, nat = 5, ntyp = 4
/
ATOMIC_SPECIES
N 14.01 N.upf
Se 78.96 Se.upf
Ni 58.69 Ni.upf
Ir 192.22 Ir.upf
CELL_PARAMETERS angstrom
-3.444 -0.614 1.238
1.179 -3.039 1.773
1.102 3.118 4.612
ATOMIC_POSITIONS angstrom
N -1.722 -0.307 0.619
Se 0.551 1.559 2.306
Ni -0.582 -0.267 3.811
N 0.589 -1.519 0.887
Ir 0.000 0.000 0.000
```



Record 7
Here is Y5Ga2Si5 after structural relaxation from Alexandria. Energies are from GGA-PBE. Values from VASP.

Results
The calculation puts the energy relative to the elements, uncorrected at -7.81 eV per formula unit. Its calculated total energy is -73.3 eV per formula unit. The symmetry is C2/m (12).

```
&SYSTEM
  ibrav = 0, nat = 12, ntyp = 3
/
ATOMIC_SPECIES
Si 28.09 Si.upf
Y 88.91 Y.upf
Ga 69.72 Ga.upf
CELL_PARAMETERS angstrom
3.972 0.000 0.896
1.948 7.267 0.617
0.089 -0.265 8.856
ATOMIC_POSITIONS angstrom
Si 2.707 5.485 6.505
Si 4.386 1.952 8.315
Y 3.303 6.671 3.862
Ga 2.516 3.231 7.350
Y 1.834 2.084 1.123
Y 4.176 4.918 9.247
Y 2.706 0.331 6.508
Y 1.019 3.501 4.737
Si 3.303 1.517 3.864
Si 1.624 5.051 2.055
Si 0.000 0.000 0.000
Ga 3.493 3.771 3.020
```



Record 8
Here is Na5In5Sn after structural relaxation from Alexandria. Energies are from GGA-PBE. Values from VASP.

Results
The formation energy comes out at -0.034 eV per atom. Its calculated total energy is -24.7 eV per formula unit. The symmetry is P-6m2 (187).

```
&SYSTEM
  ibrav = 0, nat = 11, ntyp = 3
/
ATOMIC_SPECIES
Na 22.99 Na.upf
In 114.82 In.upf
Sn 118.71 Sn.upf
CELL_PARAMETERS angstrom
-0.487 -0.055 -5.937
-4.057 -2.797 3.347
-5.926 9.077 0.403
ATOMIC_POSITIONS angstrom
Na -6.589 6.555 -2.508
In -1.591 2.437 0.108
Na -4.731 0.971 0.379
In -4.060 4.015 -4.150
In -4.335 6.640 0.295
In -3.822 4.042 -1.255
Sn -2.867 -1.883 0.253
In -6.038 2.652 -2.518
Na 0.000 0.000 0.000
Na -6.929 4.339 0.529
Na -2.691 0.584 -2.773
```